The following is a PBE-GGA calculation of a geometry-optimized BaBeTeO5 structure, from Alexandria.

## Properties
crystal system = monoclinic
calculated volume = 108 Å³/f.u.
formation energy without anion corrections = -1838 meV/atom

The structure in CIF format:
```
data_BaBeTeO5
_cell_length_a 6.986
_cell_length_b 9.234
_cell_length_c 7.371
_cell_angle_alpha 90.00
_cell_angle_beta 114.82
_cell_angle_gamma 90.00
_space_group_name_H-M_alt 'C 1 2/c 1'
_space_group_IT_number 15
_space_group_name_Hall '-C 2yc'
loop_
_atom_site_label
_atom_site_fract_x
_atom_site_fract_y
_atom_site_fract_z
Ba1 0.000 0.155 0.250
Be1 0.000 0.205 0.750
Te1 0.000 0.500 0.000
O1 0.000 0.432 0.250
O2 0.087 0.304 0.610
O3 0.209 0.076 0.902
```


The following is a PBE-GGA calculation of a geometry-optimized BaBe2TeO8 structure, from Alexandria.

## Properties
crystal system = trigonal
calculated volume = 161 Å³/f.u.
formation energy without anion corrections = -1353 meV/atom

The structure in CIF format:
```
data_BaBe2TeO8
_cell_length_a 5.0162
_cell_length_b 5.0162
_cell_length_c 7.4108
_cell_angle_alpha 90.00
_cell_angle_beta 90.00
_cell_angle_gamma 120.00
_space_group_name_H-M_alt 'P -3'
_space_group_IT_number 147
_space_group_name_Hall '-P 3'
loop_
_atom_site_label
_atom_site_fract_x
_atom_site_fract_y
_atom_site_fract_z
Ba1 0.0000 0.0000 0.0000
Be1 0.3333 0.6667 0.7032
Te1 0.0000 0.0000 0.5000
O1 0.0532 0.3301 0.6578
O2 0.3333 0.6667 0.9285
```


The following is a PBE-GGA calculation of a geometry-optimized Ba2TiBe2O6 structure, from Alexandria.

## Properties
crystal system = trigonal
calculated volume = 142 Å³/f.u.
formation energy without anion corrections = -2816 meV/atom

The structure in CIF format:
```
data_Ba2TiBe2O6
_cell_length_a 5.4825
_cell_length_b 5.4825
_cell_length_c 16.3541
_cell_angle_alpha 90.00
_cell_angle_beta 90.00
_cell_angle_gamma 120.00
_space_group_name_H-M_alt 'R -3 m'
_space_group_IT_number 166
_space_group_name_Hall '-R 3 2"'
loop_
_atom_site_label
_atom_site_fract_x
_atom_site_fract_y
_atom_site_fract_z
Ba1 0.0000 0.0000 0.2243
Ti1 0.0000 0.0000 0.0000
Be1 0.0000 0.0000 0.4095
O1 0.0063 0.5032 0.2608
```


The following is a PBE-GGA calculation of a geometry-optimized BaBe2TlO structure, from Alexandria.

## Properties
crystal system = tetragonal
calculated volume = 113 Å³/f.u.
formation energy without anion corrections = 145 meV/atom

The structure in CIF format:
```
data_BaBe2TlO
_cell_length_a 4.406
_cell_length_b 4.406
_cell_length_c 5.835
_cell_angle_alpha 90.00
_cell_angle_beta 90.00
_cell_angle_gamma 90.00
_space_group_name_H-M_alt 'P 4/m m m'
_space_group_IT_number 123
_space_group_name_Hall '-P 4 2'
loop_
_atom_site_label
_atom_site_fract_x
_atom_site_fract_y
_atom_site_fract_z
Ba1 0.000 0.000 0.000
Be1 0.000 0.500 0.500
Tl1 0.500 0.500 0.500
O1 0.500 0.500 0.000
```


The following is a PBE-GGA calculation of a geometry-optimized BaBe2Tl2O6 structure, from Alexandria.

## Properties
crystal system = triclinic
calculated volume = 186 Å³/f.u.
formation energy without anion corrections = -1665 meV/atom

The structure in CIF format:
```
data_BaBe2Tl2O6
_cell_length_a 5.676
_cell_length_b 5.828
_cell_length_c 6.643
_cell_angle_alpha 69.01
_cell_angle_beta 65.69
_cell_angle_gamma 85.95
_space_group_name_H-M_alt 'P -1'
_space_group_IT_number 2
_space_group_name_Hall '-P 1'
loop_
_atom_site_label
_atom_site_fract_x
_atom_site_fract_y
_atom_site_fract_z
Ba1 0.000 0.000 0.000
Be1 0.398 0.248 0.320
Tl1 0.149 0.722 0.539
O1 0.207 0.344 0.521
O2 0.248 0.092 0.252
O3 0.306 0.720 0.781
```


The following is a PBE-GGA calculation of a geometry-optimized Ba2TmBe2O6 structure, from Alexandria.

## Properties
crystal system = trigonal
calculated volume = 160 Å³/f.u.
formation energy without anion corrections = -2717 meV/atom

The structure in CIF format:
```
data_Ba2TmBe2O6
_cell_length_a 5.6863
_cell_length_b 5.6863
_cell_length_c 17.1256
_cell_angle_alpha 90.00
_cell_angle_beta 90.00
_cell_angle_gamma 120.00
_space_group_name_H-M_alt 'R -3 m'
_space_group_IT_number 166
_space_group_name_Hall '-R 3 2"'
loop_
_atom_site_label
_atom_site_fract_x
_atom_site_fract_y
_atom_site_fract_z
Ba1 0.0000 0.0000 0.2203
Tm1 0.0000 0.0000 0.0000
Be1 0.0000 0.0000 0.4180
O1 0.0197 0.5099 0.2524
```


The following is a PBE-GGA calculation of a geometry-optimized Ba3TmBe2O6 structure, from Alexandria.

## Properties
crystal system = trigonal
calculated volume = 208 Å³/f.u.
formation energy without anion corrections = -2708 meV/atom

The structure in CIF format:
```
data_Ba3TmBe2O6
_cell_length_a 5.7537
_cell_length_b 5.7537
_cell_length_c 7.2680
_cell_angle_alpha 90.00
_cell_angle_beta 90.00
_cell_angle_gamma 120.00
_space_group_name_H-M_alt 'P -3 m 1'
_space_group_IT_number 164
_space_group_name_Hall '-P 3 2"'
loop_
_atom_site_label
_atom_site_fract_x
_atom_site_fract_y
_atom_site_fract_z
Ba1 0.0000 0.0000 0.0000
Ba2 0.3333 0.6667 0.6822
Tm1 0.0000 0.0000 0.5000
Be1 0.3333 0.6667 0.2802
O1 0.1777 0.3554 0.3113
```


The following is a PBE-GGA calculation of a geometry-optimized BaUBeO5 structure, from Alexandria.

## Properties
crystal system = monoclinic
calculated volume = 121 Å³/f.u.
formation energy without anion corrections = -2916 meV/atom

The structure in CIF format:
```
data_BaUBeO5
_cell_length_a 7.099
_cell_length_b 9.419
_cell_length_c 7.935
_cell_angle_alpha 90.00
_cell_angle_beta 113.89
_cell_angle_gamma 90.00
_space_group_name_H-M_alt 'C 1 2/c 1'
_space_group_IT_number 15
_space_group_name_Hall '-C 2yc'
loop_
_atom_site_label
_atom_site_fract_x
_atom_site_fract_y
_atom_site_fract_z
Ba1 0.000 0.158 0.250
U1 0.000 0.500 0.000
Be1 0.000 0.191 0.750
O1 0.000 0.429 0.250
O2 0.081 0.297 0.615
O3 0.197 0.079 0.888
```


The following is a PBE-GGA calculation of a geometry-optimized BaU2BeO8 structure, from Alexandria.

## Properties
crystal system = triclinic
calculated volume = 177 Å³/f.u.
formation energy without anion corrections = -2858 meV/atom

The structure in CIF format:
```
data_BaU2BeO8
_cell_length_a 4.155
_cell_length_b 6.121
_cell_length_c 7.062
_cell_angle_alpha 97.25
_cell_angle_beta 93.83
_cell_angle_gamma 94.46
_space_group_name_H-M_alt 'P -1'
_space_group_IT_number 2
_space_group_name_Hall '-P 1'
loop_
_atom_site_label
_atom_site_fract_x
_atom_site_fract_y
_atom_site_fract_z
Ba1 0.000 0.000 0.000
U1 0.435 0.460 0.742
Be1 0.000 0.000 0.500
O1 0.059 0.453 0.225
O2 0.138 0.142 0.670
O3 0.424 0.687 0.566
O4 0.476 0.708 0.018
```